Here is a relaxed structure of Cs2NaPtI6 from Alexandria via LeMat-Bulk. Energies are from PBE.

distance to the lowest polymorph of the same formula = 12 meV/atom
volume = 42.13 Å³ per atom
size of the total moment = 0.00 μB/cell

Unit cell a=8.4190 b=8.4190 c=8.4123 alpha=59.97 beta=59.97 gamma=90.00
With the nearest neighbours (Å) after each atom.
Fractional positions:
I1 0.7674 0.2326 0.0000  1 Pt 2.77
I2 0.2327 0.2327 0.5347  1 Pt 2.77
I3 0.7674 0.7674 0.0000  1 Pt 2.77
I4 0.2326 0.2326 0.0000  1 Pt 2.77
I5 0.7673 0.7673 0.4653  1 Pt 2.77
I6 0.2326 0.7674 0.0000  1 Pt 2.77
Pt1 0.0000 0.0000 0.0000  6 I 2.77
Cs1 0.7500 0.2500 0.5000  12 I 4.21
Cs2 0.2500 0.7500 0.5000  12 I 4.21
Na1 0.5000 0.5000 0.0000  6 I 3.18



Here is a relaxed structure of Cs3Na3PuI8 from Alexandria via LeMat-Bulk. Energies are from PBE.

volume = 48.16 Å³ per atom
size of the total moment = 6.00 μB/cell
electronic total energy = -0.258 Ry per atom

Unit cell a=9.7146 b=9.7211 c=10.4649 alpha=117.69 beta=90.00 gamma=119.98
With the nearest neighbours (Å) after each atom.
Fractional positions:
I1 0.2296 0.9701 0.6994  1 Pu 3.26, 2 Na 3.34
I2 0.7405 0.9701 0.6994  1 Pu 3.26, 2 Na 3.34
I3 0.7704 0.0299 0.3006  1 Pu 3.26, 2 Na 3.34
I4 0.7338 0.4675 0.7008  3 Na 3.32
I5 0.2293 0.4586 0.6992  1 Pu 3.26, 2 Na 3.34
I6 0.2662 0.5325 0.2992  3 Na 3.32
I7 0.7707 0.5414 0.3008  1 Pu 3.26, 2 Na 3.34
I8 0.2595 0.0299 0.3006  1 Pu 3.26, 2 Na 3.34
Na1 0.0000 0.5000 0.5000  6 I 3.32-3.34
Na2 0.5000 0.5000 0.5000  6 I 3.32-3.34
Na3 0.5000 0.0000 0.5000  6 I 3.32-3.34
Cs1 0.5000 0.5000 0.0000  6 I 3.84-3.85
Cs2 0.0000 0.5000 0.0000  6 I 3.84-3.85
Cs3 0.0000 0.0000 0.0000  6 I 3.84-3.85
Pu1 0.0000 0.0000 0.5000  6 I 3.26



Q: The lowest size of the total moment belongs to which entry?
A: Cs2NaPtI6